Here is a relaxed structure of InCoBr2O from the Alexandria database. Energies are from PBE+U.

Output
**Energy**: -14.64 eV per cell

Cell: 5.9617 5.9617 3.7696 Å, 90.00 90.00 90.00°
Space group P4/mmm (No. 123)
Symmetry-distinct sites (fractional):
1 In 0.0000 0.0000 0.0000 [1 per cell]
2 Co 0.5000 0.5000 0.0000 [1 per cell]
3 Br 0.0000 0.5000 0.5000 [2 per cell]
4 O 0.0000 0.0000 0.5000 [1 per cell]